DFT (PBE-GGA) results for crystalline ZnB2Pd8 at its relaxed geometry.

```
ZnB2Pd8
1.0
-3.7404 -2.0975 -0.4743
2.0541 -0.5275 -5.8470
2.8651 -4.1252 3.6687
Zn B Pd
1 2 8
direct
0.5000 0.0000 0.0000
0.0000 0.3202 0.6798
0.0000 0.6798 0.3202
0.9098 0.9354 0.6702
0.9098 0.6702 0.9354
0.2980 0.6157 0.6157
0.5000 0.7475 0.2525
0.5000 0.2525 0.7475
0.7020 0.3843 0.3843
0.0902 0.3298 0.0646
0.0902 0.0646 0.3298
```

Values from the calculation:
- E: -5.3080 eV per atom
- Calculated formation energy: -0.202 eV/atom
- Total moment: 0.0 μB per cell

=====

DFT (PBE-GGA) results for crystalline KTlSnCl4 at its relaxed geometry.

```
KTlSnCl4
1.0
-0.5938 -4.2252 3.5821
-2.1543 -3.1429 -4.0642
8.7210 1.0661 -1.6289
K Tl Sn Cl
1 1 1 4
direct
0.6333 0.6333 0.2665
0.3543 0.3543 0.7087
0.9970 0.9970 0.9940
0.0067 0.5067 0.0134
0.5067 0.0067 0.0134
0.8255 0.8255 0.6511
0.1765 0.1765 0.3530
```

Values from the calculation:
- E: -3.3690 eV per atom
- Uncorrected formation energy: -1.2472 eV per atom
- Total moment: 0.0 μB per cell

=====

DFT (PBE-GGA) results for crystalline Li2Dy3Pd5 at its relaxed geometry.

```
Li2Dy3Pd5
1.0
-1.6989 1.2425 -3.0252
5.4553 -6.0994 -5.5688
-6.8844 -7.0452 0.9724
Li Dy Pd
4 6 10
direct
0.0000 0.1204 0.6204
0.0000 0.8796 0.3796
0.0000 0.3796 0.1204
0.0000 0.6204 0.8796
0.0000 0.3254 0.8254
0.0000 0.6746 0.1746
0.0000 0.1746 0.3254
0.0000 0.8254 0.6746
0.0000 0.0000 0.0000
0.0000 0.5000 0.5000
0.5000 0.2143 0.0706
0.5000 0.7857 0.9294
0.5000 0.9294 0.2143
0.5000 0.0706 0.7857
0.5000 0.2857 0.5706
0.5000 0.7143 0.4294
0.5000 0.5706 0.7143
0.5000 0.4294 0.2857
0.5000 0.0000 0.5000
0.5000 0.5000 0.0000
```

Values from the calculation:
- E: -5.1054 eV per atom
- Calculated formation energy: -0.746 eV/atom
- Total moment: 0.0 μB per cell

=====

DFT (PBE-GGA) results for crystalline LaBiB2 at its relaxed geometry.

```
LaBiB2
1.0
-4.3410 4.2462 3.4719
2.3257 -2.5851 6.0694
1.4012 3.2169 4.8640
B Bi La
4 2 2
direct
0.6599 0.1250 0.2500
0.0901 0.6250 0.2500
0.3750 0.3401 0.7500
0.8750 0.9099 0.7500
0.0000 0.0000 0.0000
0.7500 0.2500 0.5000
0.5000 0.5000 0.0000
0.2500 0.7500 0.5000
```

Values from the calculation:
- E: -4.8104 eV per atom
- Calculated formation energy: 0.730 eV/atom
- Total moment: 0.0 μB per cell

=====

DFT (PBE-GGA) results for crystalline YAl2Ag at its relaxed geometry.

```
YAl2Ag
1.0
-1.4342 -3.3627 2.3038
1.9806 -2.7095 -2.7218
3.5580 0.1524 2.4374
Y Al Ag
1 2 1
direct
0.5000 0.0000 0.5000
0.0000 0.0000 0.0000
0.5000 0.5000 0.0000
0.0000 0.5000 0.5000
```

Values from the calculation:
- E: -4.5105 eV per atom
- Calculated formation energy: -0.310 eV/atom
- Total moment: 0.0 μB per cell

=====

DFT (PBE-GGA) results for crystalline Tm8Ni3Sn2 at its relaxed geometry.

```
Tm8Ni3Sn2
1.0
-4.2553 3.4635 3.3526
-2.8736 -5.8990 2.4466
8.2402 1.5023 3.2781
Tm Ni Sn
8 3 2
direct
0.0441 0.6666 0.3331
0.9559 0.3334 0.6669
0.9207 0.0834 0.1669
0.0793 0.9166 0.8331
0.5836 0.6483 0.8025
0.5836 0.1542 0.8025
0.4164 0.8458 0.1975
0.4164 0.3517 0.1975
0.5000 0.0000 0.0000
0.0000 0.3301 0.0000
0.0000 0.6699 0.0000
0.3267 0.2457 0.4913
0.6733 0.7543 0.5087
```

Values from the calculation:
- E: -5.0000 eV per atom
- Calculated formation energy: -0.298 eV/atom
- Total moment: 0.0 μB per cell

=====

DFT (PBE-GGA) results for crystalline TmUCSe2 at its relaxed geometry.

```
TmUCSe2
1.0
3.8952 0.0000 0.0000
0.0000 3.8952 0.0000
0.0000 0.0000 14.2695
Tm U C Se
2 2 2 4
direct
0.5000 0.0000 0.1203
0.0000 0.5000 0.8797
0.5000 0.0000 0.5827
0.0000 0.5000 0.4173
0.0000 0.0000 0.5000
0.5000 0.5000 0.5000
0.0000 0.5000 0.6896
0.0000 0.5000 0.0911
0.5000 0.0000 0.9089
0.5000 0.0000 0.3104
```

Values from the calculation:
- E: -7.4865 eV per atom
- Uncorrected formation energy: -1.0960 eV per atom
- Total moment: 1.5 μB per cell

=====

DFT (PBE-GGA) results for crystalline CsNpTcN4 at its relaxed geometry.

```
CsNpTcN4
1.0
5.9856 0.0000 -0.0898
0.0000 6.0034 0.0000
-2.4414 0.0000 7.9951
Cs Np Tc N
2 2 2 8
direct
0.7111 0.7500 0.9315
0.2889 0.2500 0.0685
0.7971 0.7500 0.4554
0.2029 0.2500 0.5446
0.2602 0.7500 0.3611
0.7398 0.2500 0.6389
0.9508 0.4833 0.6504
0.0492 0.9833 0.3496
0.0492 0.5167 0.3496
0.9508 0.0167 0.6504
0.4585 0.7500 0.2325
0.5415 0.2500 0.7675
0.4883 0.7500 0.5587
0.5117 0.2500 0.4413
```

Values from the calculation:
- E: -8.5730 eV per atom
- Uncorrected formation energy: -0.3642 eV per atom
- Total moment: 6.0 μB per cell

=====

DFT (PBE-GGA) results for crystalline Zr2MoCl at its relaxed geometry.

```
Zr2MoCl
1.0
8.5973 0.0162 0.0096
7.9472 3.2797 0.0096
7.9472 1.5832 2.8723
Cl Mo Zr
1 1 2
direct
0.2500 0.2500 0.2500
0.7500 0.7500 0.7500
0.0046 0.0046 0.0046
0.4954 0.4954 0.4954
```

Values from the calculation:
- E: -7.7835 eV per atom
- Energy relative to the lowest polymorph listed for this composition: 160 meV/atom
- Uncorrected formation energy: -0.3400 eV per atom
- Total moment: 0.0 μB per cell

=====

DFT (PBE-GGA) results for crystalline Y2V2Tc at its relaxed geometry.

```
Y2V2Tc
1.0
6.3213 0.0000 0.0000
0.0000 6.3213 0.0000
0.0000 0.0000 5.0659
Y Tc V
4 2 4
direct
0.1750 0.6750 0.5000
0.6750 0.8250 0.5000
0.8250 0.3250 0.5000
0.3250 0.1750 0.5000
0.0000 0.0000 0.0000
0.5000 0.5000 0.0000
0.3612 0.8612 0.0000
0.8612 0.6388 0.0000
0.6388 0.1388 0.0000
0.1388 0.3612 0.0000
```

Values from the calculation:
- E: -8.1583 eV per atom
- Calculated formation energy: 0.148 eV/atom
- Total moment: 1.1 μB per cell

=====

DFT (PBE-GGA) results for crystalline Pr7InS5 at its relaxed geometry.

```
Pr7InS5
1.0
-0.6482 -0.6032 4.0249
-5.0585 -3.6684 -3.4789
14.8114 -19.8654 -0.5920
Pr In S
14 2 10
direct
0.4819 0.9636 0.2500
0.5187 0.0375 0.7500
0.6359 0.2716 0.0359
0.3647 0.7296 0.9641
0.3646 0.7295 0.5359
0.6359 0.2716 0.4641
0.1765 0.3536 0.1712
0.8241 0.6475 0.8289
0.8240 0.6474 0.6711
0.1765 0.3537 0.3288
0.9093 0.8186 0.1083
0.0913 0.1825 0.8917
0.0912 0.1824 0.6083
0.9094 0.8187 0.3917
0.8016 0.6021 0.2500
0.1990 0.3991 0.7500
0.0003 0.0006 0.0000
0.7269 0.4535 0.9305
0.2737 0.5476 0.0695
0.5443 0.0884 0.3601
0.4563 0.9127 0.6399
0.0003 0.0006 0.5000
0.2737 0.5477 0.4305
0.7268 0.4535 0.5695
0.4564 0.9128 0.8601
0.5442 0.0883 0.1399
```

Values from the calculation:
- E: -6.0076 eV per atom
- Uncorrected formation energy: -1.6359 eV per atom
- Total moment: 0.5 μB per cell

=====

DFT (PBE-GGA) results for crystalline Sc4TlRh at its relaxed geometry.

```
Sc4TlRh
1.0
0.0000 3.9923 3.9923
3.9923 0.0000 3.9923
3.9923 3.9923 0.0000
Sc Tl Rh
4 1 1
direct
0.8782 0.3739 0.3739
0.3739 0.3739 0.8782
0.3739 0.8782 0.3739
0.3739 0.3739 0.3739
0.7500 0.7500 0.7500
0.0000 0.0000 0.0000
```

Values from the calculation:
- E: -5.6354 eV per atom
- Calculated formation energy: 0.205 eV/atom
- Energy relative to the lowest polymorph listed for this composition: 660 meV/atom
- Total moment: 0.0 μB per cell

=====

no.,V (Å³/atom)
1,13.8
2,35.6
3,18.1
4,20.7
5,20.1
6,26.8
7,21.7
8,20.4
9,20.1
10,20.2
11,26.9
12,21.2